YNbOsRh, optimized geometry, DFT PBE-GGA; energy relative to the elements = -0.2774 eV per atom; calculated total energy = -36.2 eV per cell; space-group type = F-43m (216)
1.0
4.6655 0.0000 0.0000
2.3327 4.0404 0.0000
2.3327 1.3468 3.8093
Nb Rh Os Y
1 1 1 1
direct
0.7500 0.7500 0.7500
0.0000 0.0000 0.0000
0.5000 0.5000 0.5000
0.2500 0.2500 0.2500